[1]
PBE-GGA Ac4Te6Br, optimized geometry; M_tot = 0.000 μB per atom; total DFT energy (no corrections) = -52.8 eV per cell; space-group type = P-6m2
1.0
4.6137 0.0000 0.0000
0.0000 10.1280 0.0000
0.0000 -5.0640 8.7711
Te Ac Br
6 4 1
direct
0.5000 0.6115 0.8058 Te
0.5000 0.1942 0.8058 Te
0.0000 0.9187 0.4593 Te
0.0000 0.5407 0.0813 Te
0.5000 0.1942 0.3885 Te
0.0000 0.5407 0.4593 Te
0.0000 0.3333 0.6667 Ac
0.5000 0.8249 0.1751 Ac
0.5000 0.8249 0.6498 Ac
0.5000 0.3502 0.1751 Ac
0.0000 0.0000 0.0000 Br


[2]
PBE-GGA MgZr2Co2, optimized geometry; M_tot = 0.000 μB per atom; total DFT energy (no corrections) = -32.2 eV per cell; energy of formation = 141 meV per atom; space-group type = I4/mmm
1.0
-0.4032 3.5765 0.8290
-3.0620 -0.7877 1.9091
2.0935 0.4899 7.1324
Mg Zr Co
1 2 2
direct
0.0000 0.0000 0.0000 Mg
0.6271 0.6271 0.7458 Zr
0.3729 0.3729 0.2542 Zr
0.2500 0.7500 0.5000 Co
0.7500 0.2500 0.5000 Co


[3]
PBE-GGA ScRe2Hg, optimized geometry; M_tot = 0.000 μB per atom; total DFT energy (no corrections) = -29.3 eV per cell; energy of formation = 564 meV per atom; space-group type = R-3m
1.0
9.7767 -0.0151 -0.0089
9.3506 2.8550 -0.0089
9.3506 1.3883 2.4947
Hg Sc Re
1 1 2
direct
0.7500 0.7500 0.7500 Hg
0.2500 0.2500 0.2500 Sc
0.5023 0.5023 0.5023 Re
0.9977 0.9977 0.9977 Re


[4]
PBE-GGA BaInP2, optimized geometry; M_tot = 0.000 μB per atom; total DFT energy (no corrections) = -16.4 eV per cell; energy of formation = -242 meV per atom; space-group type = P4/mmm
1.0
-3.4741 -0.4166 1.8624
0.6686 -3.8940 0.3762
2.9423 1.0583 5.7252
P Ba In
2 1 1
direct
0.0000 0.0000 0.5768 P
0.0000 0.0000 0.9232 P
0.5000 0.5000 0.2500 Ba
0.5000 0.5000 0.7500 In